Record 1
CsGeH3 | GGA-PBE | relaxed

Structure (POSCAR):
```
CsGeH3
1.0
5.278 0.000 0.000
0.000 5.755 -0.001
0.000 0.000 7.947
H Cs Ge
6 2 2
direct
0.749 0.096 0.701 H
0.062 0.295 0.557 H
0.585 0.795 0.345 H
0.585 0.795 0.057 H
0.899 0.596 0.201 H
0.062 0.295 0.845 H
0.543 0.594 0.701 Cs
0.104 0.094 0.201 Cs
0.594 0.597 0.201 Ge
0.054 0.097 0.701 Ge
```

Computed properties:
Relative energy among the computed polymorphs = 0 meV per atom
Final energy = -3.271 eV/atom
Space-group type = Pmn2_1, No. 31

Record 2
Sc2Ir | GGA-PBE | relaxed

Structure (POSCAR):
```
Sc2Ir
1.0
-0.121 0.388 -3.390
-5.573 -4.352 -2.018
-2.986 3.584 0.516
Sc Ir
4 2
direct
0.574 0.852 0.250 Sc
0.426 0.148 0.750 Sc
0.277 0.445 0.250 Sc
0.723 0.555 0.750 Sc
0.921 0.158 0.250 Ir
0.079 0.842 0.750 Ir
```

Computed properties:
Formation energy = -712 meV per atom
Final energy = -7.886 eV/atom
Space-group type = Cmcm, No. 63

Record 3
LaTeOsN2 | GGA-PBE | relaxed

Structure (POSCAR):
```
LaTeOsN2
1.0
4.128 0.000 0.000
0.000 4.128 0.000
0.000 0.000 5.422
Te La N Os
1 1 2 1
direct
0.000 0.000 0.500 Te
0.500 0.500 0.500 La
0.500 0.000 0.000 N
0.000 0.500 0.000 N
0.000 0.000 0.000 Os
```

Computed properties:
Energy relative to the elements, uncorrected = 0.247 eV/atom
Relative energy among the computed polymorphs = 0 meV per atom
Final energy = -6.943 eV/atom
Space-group type = P4/mmm, No. 123